{
  "formula": "KZr2Cr",
  "functional": "PBE",
  "state": "optimized geometry",
  "formation_energy_ev_per_atom": 0.40,
  "e_above_lowest_polymorph_ev_per_atom": 0.0000,
  "cell": [[-1.770, 2.048, 1.776], [0.017, -2.113, 2.453], [8.461, 4.215, 3.572]],
  "species": ["Cr", "K", "Zr", "Zr"],
  "fractional_positions": [[0.500, 0.500, 0.250], [0.500, 0.500, 0.750], [0.000, 0.000, 0.100], [0.000, 0.000, 0.400]]
}

***

{
  "formula": "KZr2Cr",
  "functional": "PBE",
  "state": "optimized geometry",
  "formation_energy_ev_per_atom": 1.19,
  "e_above_lowest_polymorph_ev_per_atom": 0.7893,
  "cell": [[7.490, 0.000, 0.000], [0.000, 7.490, 0.000], [3.745, 3.745, 5.304]],
  "species": ["Cr", "Cr", "K", "K", "Zr", "Zr", "Zr", "Zr"],
  "fractional_positions": [[0.000, 0.000, 0.000], [0.750, 0.250, 0.500], [0.500, 0.500, 0.000], [0.250, 0.750, 0.500], [0.875, 0.125, 0.250], [0.875, 0.625, 0.250], [0.375, 0.125, 0.750], [0.875, 0.125, 0.750]]
}

***

{
  "formula": "KZr2Cr",
  "functional": "PBE",
  "state": "optimized geometry",
  "formation_energy_ev_per_atom": 0.77,
  "e_above_lowest_polymorph_ev_per_atom": 0.3625,
  "cell": [[5.022, 0.093, -0.055], [3.997, 3.042, -0.055], [0.575, 0.200, 7.922]],
  "species": ["Cr", "K", "Zr", "Zr"],
  "fractional_positions": [[0.495, 0.495, 0.619], [0.240, 0.240, 0.265], [0.010, 0.010, 0.902], [0.755, 0.755, 0.714]]
}

***

{
  "formula": "KZr2Cr",
  "functional": "PBE",
  "state": "optimized geometry",
  "formation_energy_ev_per_atom": 0.59,
  "e_above_lowest_polymorph_ev_per_atom": 0.1858,
  "cell": [[-0.547, 2.487, 2.055], [0.562, -1.979, 2.545], [9.790, 2.397, -0.296]],
  "species": ["Cr", "K", "Zr", "Zr"],
  "fractional_positions": [[0.000, 0.000, 0.442], [0.500, 0.500, 0.722], [0.000, 0.000, 0.064], [0.500, 0.500, 0.272]]
}

***

> Which formula does entry 3 have?

KZr2Cr